# 1
The following is a DFT calculation (PBE) of a relaxed structure of PrEuErTm.

Structure (CIF):
```
data_PrEuErTm
_chemical_formula_sum 'Pr4 Eu4 Er4 Tm4'
_cell_length_a 8.1575
_cell_length_b 8.1575
_cell_length_c 8.1575
_cell_angle_alpha 90.00
_cell_angle_beta 90.00
_cell_angle_gamma 90.00
_symmetry_space_group_name_H-M 'F -4 3 m'
_symmetry_Int_Tables_number 216
_symmetry_space_group_name_Hall 'F -4 2 3'
loop_
_atom_site_label
_atom_site_fract_x
_atom_site_fract_y
_atom_site_fract_z
Pr1 0.0000 0.0000 0.0000
Eu1 0.0000 0.0000 0.5000
Er1 0.2500 0.2500 0.7500
Tm1 0.2500 0.2500 0.2500
```

=====

# 2
# Hg2IrCl PBE relaxed
data_Hg2IrCl
_chemical_formula_sum 'Hg4 Ir2 Cl2'
_cell_length_a 2.9779
_cell_length_b 5.6880
_cell_length_c 10.3997
_cell_angle_alpha 90.00
_cell_angle_beta 90.00
_cell_angle_gamma 90.00
_symmetry_space_group_name_H-M 'C m m 2'
_symmetry_Int_Tables_number 35
loop_
_symmetry_equiv_pos_as_xyz
'x,y,z'
'-x,-y,z'
'-x,y,z'
'x,-y,z'
'x+1/2,y+1/2,z'
'-x+1/2,-y+1/2,z'
'-x+1/2,y+1/2,z'
'x+1/2,-y+1/2,z'
loop_
_atom_site_label
_atom_site_fract_x
_atom_site_fract_y
_atom_site_fract_z
Hg1 0.0000 0.0000 0.0000
Hg2 0.0000 0.5000 0.2802
Ir1 0.0000 0.5000 0.7735
Cl1 0.0000 0.0000 0.5989
# Distance to the lowest polymorph of the same formula   0.253 eV/atom

=====

no.,energy (Ha/atom)
1,-0.216
2,-0.089